Record 1
Material: NaAgMoPd
Method: DFT, GGA-PBE
State: relaxed

```
NaAgMoPd
1.0
-0.806 1.423 4.234
-3.044 -2.163 2.581
1.382 -2.492 3.533
Ag Mo Na Pd
1 1 1 1
Direct
0.500 0.500 0.500
0.000 0.000 0.000
0.750 0.750 0.750
0.250 0.250 0.250
```

## Properties
As for the volume: 66.1 Å³/f.u. As for the total energy: -4.432 eV per atom. For the size of the total moment, the calculation gives 0.004 μB per atom. The symmetry is No. 216. The crystal system is cubic. Its energy above the most stable polymorph in this dataset is 14 meV per atom.

Record 2
Material: AgH5Au
Method: DFT, GGA-PBE
State: relaxed

```
AgH5Au
1.0
-2.574 -0.476 -2.330
0.905 -4.193 1.537
-2.699 1.185 3.846
Ag Au H
1 1 5
Direct
0.000 0.500 0.500
0.000 0.000 0.000
0.789 0.233 0.172
0.096 0.820 0.282
0.500 0.500 0.500
0.904 0.180 0.718
0.211 0.767 0.828
```

## Properties
As for the volume: 73.7 Å³/f.u. As for the total energy: -2.914 eV per atom. The symmetry is No. 2. The crystal system is triclinic.

Record 3
Material: CsGdNiTe3
Method: DFT, GGA-PBE
State: relaxed

```
CsGdNiTe3
1.0
-7.228 0.171 10.231
-2.414 -3.489 -1.647
8.654 -8.946 6.263
Cs Gd Ni Te
4 4 4 12
Direct
0.651 0.250 0.003
0.151 0.250 0.497
0.849 0.750 0.503
0.349 0.750 0.997
0.006 0.750 0.154
0.506 0.750 0.346
0.494 0.250 0.654
0.994 0.250 0.846
0.224 0.250 0.202
0.724 0.250 0.298
0.276 0.750 0.702
0.776 0.750 0.798
0.123 0.250 0.042
0.429 0.250 0.208
0.711 0.750 0.220
0.211 0.750 0.280
0.929 0.250 0.292
0.623 0.250 0.458
0.377 0.750 0.542
0.071 0.750 0.708
0.789 0.250 0.720
0.289 0.250 0.780
0.571 0.750 0.792
0.877 0.750 0.958
```

## Properties
As for the volume: 198.6 Å³/f.u. As for the total energy: -4.273 eV per atom. For the size of the total moment, the calculation gives 0.001 μB per atom. The symmetry is No. 62. The crystal system is orthorhombic. Its energy above the most stable polymorph in this dataset is 70 meV per atom.

Record 4
Material: RbZn
Method: DFT, GGA-PBE
State: relaxed

```
RbZn
1.0
7.111 0.000 0.000
0.000 8.899 0.000
0.000 0.000 4.861
Rb Zn
4 4
Direct
0.001 0.000 0.000
0.421 0.000 0.500
0.808 0.312 0.500
0.808 0.688 0.500
0.427 0.339 0.000
0.125 0.500 0.000
0.427 0.661 0.000
0.315 0.500 0.500
```

## Properties
As for the volume: 76.9 Å³/f.u. As for the total energy: -0.880 eV per atom. The symmetry is No. 25. The crystal system is orthorhombic.

Record 5
Material: PrNdHo
Method: DFT, GGA-PBE
State: relaxed

```
PrNdHo
1.0
0.000 3.912 3.912
3.912 0.000 3.912
3.912 3.912 0.000
Ho Nd Pr
1 1 1
Direct
0.000 0.000 0.000
0.750 0.750 0.750
0.250 0.250 0.250
```

## Properties
As for the volume: 119.8 Å³/f.u. As for the total energy: -4.025 eV per atom. For the size of the total moment, the calculation gives 0.031 μB per atom. The symmetry is No. 216. The crystal system is cubic. Its energy above the most stable polymorph in this dataset is 0 meV per atom.

Record 6
Material: MgZrCuSi
Method: DFT, GGA-PBE
State: relaxed

```
MgZrCuSi
1.0
0.000 3.207 3.207
3.207 0.000 3.207
3.207 3.207 0.000
Cu Mg Si Zr
1 1 1 1
Direct
0.750 0.750 0.750
0.500 0.500 0.500
0.000 0.000 0.000
0.250 0.250 0.250
```

## Properties
As for the volume: 65.9 Å³/f.u. As for the total energy: -4.763 eV per atom. For the size of the total moment, the calculation gives 0.005 μB per atom. The symmetry is No. 216. The crystal system is cubic. Its energy above the most stable polymorph in this dataset is 0 meV per atom.

Record 7
Material: Y4Lu2Fe3C3
Method: DFT, GGA-PBE
State: relaxed

```
Y4Lu2Fe3C3
1.0
5.374 -3.087 0.000
5.374 3.087 0.000
-3.579 0.000 14.032
C Fe Lu Y
6 6 4 8
Direct
0.000 0.500 0.000
0.337 0.827 0.004
0.173 0.663 0.496
0.500 0.000 0.500
0.827 0.337 0.504
0.663 0.173 0.996
0.395 0.241 0.250
0.737 0.263 0.250
0.759 0.605 0.250
0.241 0.395 0.750
0.263 0.737 0.750
0.605 0.759 0.750
0.373 0.523 0.095
0.477 0.627 0.405
0.523 0.373 0.595
0.627 0.477 0.905
0.028 0.203 0.096
0.698 0.868 0.097
0.132 0.302 0.403
0.797 0.972 0.404
0.203 0.028 0.596
0.868 0.698 0.597
0.302 0.132 0.903
0.972 0.797 0.904
```

## Properties
As for the volume: 232.8 Å³/f.u. As for the total energy: -7.285 eV per atom. For the size of the total moment, the calculation gives 0.437 μB per atom. The symmetry is No. 15. The crystal system is monoclinic.

Record 8
Material: TaBeAs
Method: DFT, GGA-PBE
State: relaxed

```
TaBeAs
1.0
2.108 1.217 3.442
-2.108 1.217 3.442
0.000 -2.434 3.442
As Be Ta
1 1 1
Direct
0.750 0.750 0.750
0.250 0.250 0.250
0.000 0.000 0.000
```

## Properties
As for the volume: 53.0 Å³/f.u. As for the total energy: -6.147 eV per atom. For the size of the total moment, the calculation gives 0.011 μB per atom. The symmetry is No. 216. The crystal system is cubic. Its energy above the most stable polymorph in this dataset is 23 meV per atom.

Record 9
Material: CdHg2Au
Method: DFT, GGA-PBE
State: relaxed

```
CdHg2Au
1.0
-3.575 0.126 3.474
-4.484 1.881 -1.104
-3.948 -3.022 -0.375
Au Cd Hg
1 1 2
Direct
0.750 0.750 0.750
0.500 0.500 0.500
0.000 0.000 0.000
0.250 0.250 0.250
```

## Properties
As for the volume: 87.7 Å³/f.u. As for the total energy: -1.124 eV per atom. The symmetry is No. 216. The crystal system is cubic.

Record 10
Material: Y2CoSi2WC
Method: DFT, GGA-PBE
State: relaxed

```
Y2CoSi2WC
1.0
-4.169 -0.421 4.012
-1.901 -3.593 4.139
5.652 4.060 0.474
C Co Si W Y
1 1 2 1 2
Direct
0.990 0.990 0.993
0.793 0.793 0.909
0.866 0.866 0.319
0.157 0.157 0.694
0.198 0.198 0.087
0.567 0.567 0.297
0.430 0.430 0.702
```

## Properties
As for the volume: 117.4 Å³/f.u. As for the total energy: -8.150 eV per atom. For the size of the total moment, the calculation gives 0.000 μB per atom. The symmetry is No. 8. The crystal system is monoclinic.

Record 11
Material: Sc2W4S3N3
Method: DFT, GGA-PBE
State: relaxed

```
Sc2W4S3N3
1.0
5.073 -2.821 0.000
5.073 2.821 0.000
-4.483 0.000 11.521
N S Sc W
6 6 4 8
Direct
0.500 0.000 0.000
0.820 0.348 0.012
0.652 0.180 0.488
0.000 0.500 0.500
0.348 0.820 0.512
0.180 0.652 0.988
0.200 0.453 0.233
0.914 0.086 0.250
0.547 0.800 0.267
0.453 0.200 0.733
0.086 0.914 0.750
0.800 0.547 0.767
0.539 0.376 0.102
0.624 0.461 0.398
0.376 0.539 0.602
0.461 0.624 0.898
0.878 0.742 0.074
0.154 0.038 0.106
0.962 0.846 0.394
0.258 0.122 0.426
0.742 0.878 0.574
0.038 0.154 0.606
0.846 0.962 0.894
0.122 0.258 0.926
```

## Properties
As for the volume: 164.9 Å³/f.u. As for the total energy: -9.091 eV per atom. For the size of the total moment, the calculation gives 0.000 μB per atom. The symmetry is No. 15. The crystal system is monoclinic.

Record 12
Material: ScTaAsO
Method: DFT, GGA-PBE
State: relaxed

```
ScTaAsO
1.0
-2.762 0.896 -2.236
1.124 -2.529 -2.402
-5.066 -5.935 3.878
As O Sc Ta
2 2 2 2
Direct
0.000 0.500 0.268
0.500 0.000 0.732
0.000 0.000 0.000
0.500 0.500 0.000
0.000 0.000 0.500
0.500 0.500 0.500
0.500 0.000 0.145
0.000 0.500 0.855
```

## Properties
As for the volume: 58.5 Å³/f.u. As for the total energy: -7.950 eV per atom. For the size of the total moment, the calculation gives 0.007 μB per atom. The symmetry is No. 129. The crystal system is tetragonal. Its energy above the most stable polymorph in this dataset is 651 meV per atom.

Record 13
Material: ZrCl3
Method: DFT, GGA-PBE
State: relaxed

```
ZrCl3
1.0
-3.025 -3.630 4.968
-1.308 -6.724 -0.308
3.116 -4.772 3.811
Cl Zr
6 2
Direct
0.412 0.750 0.088
0.912 0.588 0.250
0.750 0.088 0.412
0.250 0.912 0.588
0.088 0.412 0.750
0.588 0.250 0.912
0.000 0.000 0.000
0.500 0.500 0.500
```

## Properties
As for the volume: 101.2 Å³/f.u. As for the total energy: -5.112 eV per atom. For the size of the total moment, the calculation gives 0.250 μB per atom. The symmetry is No. 167. The crystal system is trigonal.

Record 14
Material: AcHfGe3
Method: DFT, GGA-PBE
State: relaxed

```
AcHfGe3
1.0
-4.095 4.823 -1.645
-2.002 -4.765 4.004
1.926 3.305 4.895
Ac Ge Hf
2 6 2
Direct
0.333 0.667 0.250
0.667 0.333 0.750
0.401 0.201 0.250
0.799 0.201 0.250
0.799 0.599 0.250
0.201 0.401 0.750
0.201 0.799 0.750
0.599 0.799 0.750
0.000 0.000 0.000
0.000 0.000 0.500
```

## Properties
As for the volume: 115.0 Å³/f.u. As for the total energy: -6.249 eV per atom. For the size of the total moment, the calculation gives 0.000 μB per atom. The symmetry is No. 194. The crystal system is hexagonal.

Record 15
Material: KLiU
Method: DFT, GGA-PBE
State: relaxed

```
KLiU
1.0
-0.675 -3.898 4.045
2.423 0.726 5.061
-3.194 1.145 4.528
K Li U
1 1 1
Direct
0.000 0.000 0.000
0.500 0.500 0.500
0.250 0.250 0.250
```

## Properties
As for the volume: 128.1 Å³/f.u. As for the total energy: -2.851 eV per atom. For the size of the total moment, the calculation gives 1.711 μB per atom. The symmetry is No. 216. The crystal system is cubic. Its energy above the most stable polymorph in this dataset is 0 meV per atom.

Record 16
Material: ErTeN3
Method: DFT, GGA-PBE
State: relaxed

```
ErTeN3
1.0
5.788 0.000 0.000
0.000 3.735 0.000
-2.671 0.000 7.460
Er N Te
2 6 2
Direct
0.954 0.250 0.178
0.046 0.750 0.822
0.180 0.750 0.120
0.779 0.750 0.263
0.386 0.250 0.393
0.614 0.750 0.607
0.221 0.250 0.737
0.820 0.250 0.880
0.486 0.750 0.320
0.514 0.250 0.680
```

## Properties
As for the volume: 80.6 Å³/f.u. As for the total energy: -6.562 eV per atom. For the size of the total moment, the calculation gives 0.000 μB per atom. The symmetry is No. 11. The crystal system is monoclinic.

Record 17
Material: Er2Tl
Method: DFT, GGA-PBE
State: relaxed

```
Er2Tl
1.0
0.000 4.437 4.437
4.437 0.000 4.437
4.437 4.437 0.000
Er Tl
4 2
Direct
0.625 0.625 0.125
0.625 0.125 0.625
0.125 0.625 0.625
0.625 0.625 0.625
0.000 0.000 0.000
0.250 0.250 0.250
```

## Properties
As for the volume: 87.3 Å³/f.u. As for the total energy: -3.606 eV per atom. For the size of the total moment, the calculation gives 0.003 μB per atom. The symmetry is No. 227. The crystal system is cubic.

Record 18
Material: HoMgNO
Method: DFT, GGA-PBE
State: relaxed

```
HoMgNO
1.0
5.908 0.000 0.000
0.000 7.625 0.000
0.000 0.000 4.931
Ho Mg N O
4 4 4 4
Direct
0.057 0.358 0.036
0.557 0.642 0.036
0.443 0.358 0.536
0.943 0.642 0.536
0.579 0.111 0.009
0.079 0.889 0.009
0.921 0.111 0.509
0.421 0.889 0.509
0.437 0.359 0.055
0.937 0.641 0.055
0.063 0.359 0.555
0.563 0.641 0.555
0.903 0.098 0.102
0.403 0.902 0.102
0.597 0.098 0.602
0.097 0.902 0.602
```

## Properties
As for the volume: 55.5 Å³/f.u. As for the total energy: -6.970 eV per atom. For the size of the total moment, the calculation gives 0.000 μB per atom. The symmetry is No. 29. The crystal system is orthorhombic. Its energy above the most stable polymorph in this dataset is 0 meV per atom.

Record 19
Material: Dy3Sn3Ir2Pd
Method: DFT, GGA-PBE
State: relaxed

```
Dy3Sn3Ir2Pd
1.0
7.606 0.000 0.000
-3.803 6.587 0.000
0.000 0.000 3.857
Dy Ir Pd Sn
3 2 1 3
Direct
0.408 0.000 0.000
0.000 0.408 0.000
0.592 0.592 0.000
0.667 0.333 0.500
0.333 0.667 0.500
0.000 0.000 0.000
0.734 0.000 0.500
0.266 0.266 0.500
0.000 0.734 0.500
```

## Properties
As for the volume: 193.3 Å³/f.u. As for the total energy: -6.280 eV per atom. For the size of the total moment, the calculation gives 0.000 μB per atom. The symmetry is No. 189. The crystal system is hexagonal.

Record 20
Material: Cu7Ag3
Method: DFT, GGA-PBE
State: relaxed

```
Cu7Ag3
1.0
-2.604 -0.623 0.761
-0.690 -0.378 -2.670
4.454 -17.058 1.265
Ag Cu
3 7
Direct
0.000 0.000 0.000
0.000 0.000 0.215
0.000 0.000 0.785
0.500 0.500 0.108
0.500 0.500 0.324
0.000 0.000 0.413
0.500 0.500 0.500
0.000 0.000 0.587
0.500 0.500 0.676
0.500 0.500 0.892
```

## Properties
As for the volume: 137.0 Å³/f.u. As for the total energy: -3.376 eV per atom. The symmetry is No. 123. The crystal system is tetragonal. Its energy above the most stable polymorph in this dataset is 28 meV per atom.